## Li5HgAu8 (PBE)

Data for a relaxed Li5HgAu8 crystal.

Cell: 6.840 6.840 6.840 Å, 109.40 109.40 109.60°
Fractional coordinates of all 14 atoms:
Li (0.000, 0.000, 0.000)
Li (0.284, 0.191, 0.651)
Li (0.367, 0.716, 0.907)
Li (0.540, 0.633, 0.349)
Li (0.809, 0.460, 0.093)
Hg (0.750, 0.250, 0.500)
Au (0.015, 0.758, 0.592)
Au (0.100, 0.354, 0.941)
Au (0.166, 0.423, 0.408)
Au (0.242, 0.834, 0.257)
Au (0.413, 0.159, 0.059)
Au (0.577, 0.985, 0.743)
Au (0.646, 0.587, 0.746)
Au (0.841, 0.900, 0.254)

- D(E_F) (states/eV/cell) = 4.34
- crystal system = tetragonal
- total DFT energy (no corrections) (eV/cell) = -40.37



## Li12HgAu6 (PBE)

Data for a relaxed Li12HgAu6 crystal.

Cell: 7.457 7.457 7.457 Å, 110.62 110.62 110.62°
Fractional coordinates of all 19 atoms:
Li (0.014, 0.171, 0.295)
Li (0.171, 0.295, 0.014)
Li (0.245, 0.683, 0.621)
Li (0.295, 0.014, 0.171)
Li (0.317, 0.379, 0.755)
Li (0.379, 0.755, 0.317)
Li (0.621, 0.245, 0.683)
Li (0.683, 0.621, 0.245)
Li (0.705, 0.986, 0.829)
Li (0.755, 0.317, 0.379)
Li (0.829, 0.705, 0.986)
Li (0.986, 0.829, 0.705)
Hg (0.500, 0.500, 0.500)
Au (0.057, 0.547, 0.841)
Au (0.159, 0.943, 0.453)
Au (0.453, 0.159, 0.943)
Au (0.547, 0.841, 0.057)
Au (0.841, 0.057, 0.547)
Au (0.943, 0.453, 0.159)

- D(E_F) (states/eV/cell) = 5.57
- crystal system = trigonal
- total DFT energy (no corrections) (eV/cell) = -51.40
- energy above the most stable polymorph in this dataset (kJ/mol of atoms) = 0.0



## Li2HgAu3 (PBE)

Data for a relaxed Li2HgAu3 crystal.

Cell: 6.620 6.620 3.928 Å, 90.00 90.00 142.67°
Fractional coordinates of all 6 atoms:
Li (0.166, 0.834, 0.000)
Li (0.834, 0.166, 0.000)
Hg (0.500, 0.500, 0.000)
Au (0.000, 0.000, 0.500)
Au (0.325, 0.675, 0.500)
Au (0.675, 0.325, 0.500)

- D(E_F) (states/eV/cell) = 1.03
- crystal system = orthorhombic
- total DFT energy (no corrections) (eV/cell) = -16.15
- energy above the most stable polymorph in this dataset (kJ/mol of atoms) = 0.0



## Li2HgAu8 (PBE)

Data for a relaxed Li2HgAu8 crystal.

Cell: 7.654 7.654 5.168 Å, 93.89 93.89 43.11°
Fractional coordinates of all 11 atoms:
Li (0.157, 0.157, 0.319)
Li (0.843, 0.843, 0.681)
Hg (0.500, 0.500, 0.000)
Au (0.079, 0.584, 0.175)
Au (0.243, 0.757, 0.500)
Au (0.329, 0.329, 0.663)
Au (0.416, 0.921, 0.825)
Au (0.584, 0.079, 0.175)
Au (0.671, 0.671, 0.337)
Au (0.757, 0.243, 0.500)
Au (0.921, 0.416, 0.825)

- D(E_F) (states/eV/cell) = 2.31
- crystal system = monoclinic
- total DFT energy (no corrections) (eV/cell) = -32.60
- energy above the most stable polymorph in this dataset (kJ/mol of atoms) = 0.2